# Sc3Pd2Pt | Alexandria | PBE | relaxed
data_Sc3Pd2Pt
_chemical_formula_sum 'Sc6 Pd4 Pt2'
_symmetry_space_group_name_H-M 'P 1'
_symmetry_Int_Tables_number 1
_symmetry_space_group_name_Hall 'P 1'
_cell_length_a 4.672
_cell_length_b 4.672
_cell_length_c 11.461
_cell_angle_alpha 90.00
_cell_angle_beta 90.00
_cell_angle_gamma 120.00
loop_
_atom_site_label
_atom_site_fract_x
_atom_site_fract_y
_atom_site_fract_z
Sc1 0.000 0.000 0.251
Sc2 0.667 0.333 0.583
Sc3 0.667 0.333 0.085
Sc4 0.000 0.000 0.749
Sc5 0.333 0.667 0.417
Sc6 0.333 0.667 0.915
Pt1 0.333 0.667 0.665
Pt2 0.667 0.333 0.335
Pd1 0.000 0.000 0.000
Pd2 0.000 0.000 0.500
Pd3 0.333 0.667 0.165
Pd4 0.667 0.333 0.835
# Spin magnetization = 0.0 Bohr magnetons per cell
# Calculated formation energy = -1.030 eV/atom